Crystalline BaCo2Cu at its relaxed geometry, computed with GGA-PBEsol.

abc: 5.313 5.313 3.073
angles: 104.88 104.88 117.45
Fractional coordinates of all 4 atoms:
Ba 0.000 0.000 0.000
Co 0.000 0.500 0.500
Co 0.500 0.000 0.500
Cu 0.500 0.500 0.000

Results
- E_form (eV per formula unit) = 4.0
- energy (eV/atom) = -4.48
- N(E_F) (states/eV/f.u.) = 5.49
- crystal system = monoclinic